Entry 1:
Below is a geometry-optimized NdMg5Cd2 structure, with properties calculated at the PBE level.

Output
Calculated formation energy = -140 meV/atom

Lattice parameters (Å, degrees): 7.5723 7.5723 7.5723 151.49 107.27 79.89
Fractional positions:
Nd 0.0000 0.0000 0.0000
Mg 0.1543 0.3628 0.7916
Mg 0.4288 0.6372 0.7916
Mg 0.5000 0.0000 0.5000
Mg 0.5712 0.3628 0.2084
Mg 0.8457 0.6372 0.2084
Cd 0.2399 0.7399 0.5000
Cd 0.7601 0.2601 0.5000

Entry 2:
Below is a geometry-optimized SrSbRu structure, with properties calculated at the PBE level.

Output
Formation energy (no corrections) = 0.975 eV/atom

Lattice parameters (Å, degrees): 5.0442 5.0442 5.0442 60.00 60.00 60.00
Fractional positions:
Sr 0.0000 0.0000 0.0000
Sb 0.7500 0.7500 0.7500
Ru 0.2500 0.2500 0.2500

Entry 3:
Below is a geometry-optimized KAgSb2S4 structure, with properties calculated at the PBE level.

Output
Formation energy (no corrections) = -0.388 eV/atom

Lattice parameters (Å, degrees): 6.9837 6.9837 14.6674 90.00 90.00 145.97
Fractional positions:
K 0.1137 0.8863 0.7500
K 0.8863 0.1137 0.2500
Ag 0.1621 0.8379 0.2500
Ag 0.8379 0.1621 0.7500
Sb 0.3677 0.6323 0.5600
Sb 0.3677 0.6323 0.9400
Sb 0.6323 0.3677 0.0600
Sb 0.6323 0.3677 0.4400
S 0.0000 0.0000 0.0000
S 0.0000 0.0000 0.5000
S 0.2666 0.7334 0.0999
S 0.2666 0.7334 0.4001
S 0.4389 0.5611 0.7500
S 0.5611 0.4389 0.2500
S 0.7334 0.2666 0.5999
S 0.7334 0.2666 0.9001

Entry 4:
Below is a geometry-optimized Er2CdPt structure, with properties calculated at the PBE level.

Output
Calculated formation energy = -684 meV/atom

Lattice parameters (Å, degrees): 8.1286 8.1286 8.1286 28.43 28.43 28.43
Fractional positions:
Er 0.2336 0.2336 0.2336
Er 0.7664 0.7664 0.7664
Cd 0.0000 0.0000 0.0000
Pt 0.5000 0.5000 0.5000

Entry 5:
Below is a geometry-optimized Ca3AsP2Rh9 structure, with properties calculated at the PBE level.

Output
Calculated formation energy = -476 meV/atom

Lattice parameters (Å, degrees): 6.3837 6.3837 7.7538 90.00 90.00 120.00
Fractional positions:
Ca 0.0000 0.0000 0.0000
Ca 0.3333 0.6667 0.6664
Ca 0.6667 0.3333 0.3336
As 0.0000 0.0000 0.5000
P 0.3333 0.6667 0.1589
P 0.6667 0.3333 0.8411
Rh 0.0000 0.5000 0.0000
Rh 0.1735 0.3471 0.3297
Rh 0.1735 0.8265 0.3297
Rh 0.3471 0.1735 0.6703
Rh 0.5000 0.0000 0.0000
Rh 0.5000 0.5000 0.0000
Rh 0.6529 0.8265 0.3297
Rh 0.8265 0.1735 0.6703
Rh 0.8265 0.6529 0.6703

Entry 6:
Below is a geometry-optimized Th3Ge2Sb structure, with properties calculated at the PBE level.

Output
Formation energy (no corrections) = -0.813 eV/atom

Lattice parameters (Å, degrees): 9.7750 9.7750 9.7750 154.08 154.08 36.98
Fractional positions:
Th 0.0000 0.0000 0.0000
Th 0.3274 0.3274 0.0000
Th 0.6726 0.6726 0.0000
Ge 0.1647 0.1647 0.0000
Ge 0.8353 0.8353 0.0000
Sb 0.5000 0.5000 0.0000

Entry 7:
Below is a geometry-optimized CsU2F11 structure, with properties calculated at the PBE level.

Output
Formation energy (no corrections) = -3.505 eV/atom

Lattice parameters (Å, degrees): 9.7382 9.7382 9.7382 119.60 114.84 94.94
Fractional positions:
Cs 0.2500 0.2500 0.0000
Cs 0.7500 0.7500 0.0000
U 0.1632 0.6526 0.8158
U 0.3368 0.1526 0.4895
U 0.6632 0.8474 0.5105
U 0.8368 0.3474 0.1842
F 0.0000 0.5000 0.5000
F 0.0441 0.3513 0.1727
F 0.1259 0.9377 0.2895
F 0.1482 0.4377 0.8118
F 0.1786 0.8714 0.8273
F 0.1954 0.2982 0.4936
F 0.3046 0.7982 0.1028
F 0.3214 0.1487 0.6928
F 0.3518 0.1636 0.2895
F 0.3741 0.6636 0.8118
F 0.4559 0.6286 0.3072
F 0.5000 0.0000 0.5000
F 0.5441 0.3714 0.6928
F 0.6259 0.3364 0.1882
F 0.6482 0.8364 0.7105
F 0.6786 0.8513 0.3072
F 0.6954 0.2018 0.8972
F 0.8046 0.7018 0.5064
F 0.8214 0.1286 0.1727
F 0.8518 0.5623 0.1882
F 0.8741 0.0623 0.7105
F 0.9559 0.6487 0.8273

Entry 8:
Below is a geometry-optimized CaIrO3 structure, with properties calculated at the PBE level.

Output
Formation energy (no corrections) = -1.540 eV/atom

Lattice parameters (Å, degrees): 5.1886 9.3279 6.7916 90.00 90.00 90.00
Fractional positions:
Ca 0.0000 0.0000 0.0000
Ca 0.0000 0.5000 0.0000
Ca 0.5000 0.0000 0.5000
Ca 0.5000 0.5000 0.5000
Ir 0.1198 0.2500 0.2631
Ir 0.3802 0.7500 0.7631
Ir 0.6198 0.2500 0.2369
Ir 0.8802 0.7500 0.7369
O 0.1125 0.7500 0.9839
O 0.1385 0.5884 0.6764
O 0.1385 0.9116 0.6764
O 0.3615 0.0884 0.1764
O 0.3615 0.4116 0.1764
O 0.3875 0.2500 0.4839
O 0.6125 0.7500 0.5161
O 0.6385 0.5884 0.8236
O 0.6385 0.9116 0.8236
O 0.8615 0.0884 0.3236
O 0.8615 0.4116 0.3236
O 0.8875 0.2500 0.0161

Entry 9:
Below is a geometry-optimized Pm2SmZn5 structure, with properties calculated at the PBE level.

Output
Calculated formation energy = -294 meV/atom

Lattice parameters (Å, degrees): 8.0471 8.0471 8.0471 144.54 144.54 51.02
Fractional positions:
Pm 0.2305 0.2305 0.0000
Pm 0.7695 0.7695 0.0000
Sm 0.5000 0.5000 0.0000
Zn 0.0000 0.0000 0.0000
Zn 0.1128 0.6128 0.5000
Zn 0.3872 0.8872 0.5000
Zn 0.6128 0.1128 0.5000
Zn 0.8872 0.3872 0.5000

Entry 10:
Below is a geometry-optimized Pm4BiAu5 structure, with properties calculated at the PBE level.

Output
Calculated formation energy = -704 meV/atom

Lattice parameters (Å, degrees): 3.7180 3.7180 18.1508 90.00 90.00 90.00
Fractional positions:
Pm 0.0000 0.0000 0.1022
Pm 0.0000 0.0000 0.3064
Pm 0.0000 0.0000 0.6936
Pm 0.0000 0.0000 0.8978
Bi 0.0000 0.0000 0.5000
Au 0.5000 0.5000 0.0000
Au 0.5000 0.5000 0.2003
Au 0.5000 0.5000 0.3934
Au 0.5000 0.5000 0.6066
Au 0.5000 0.5000 0.7997

Entry 11:
Below is a geometry-optimized TcAs2 structure, with properties calculated at the PBE level.

Output
Calculated formation energy = 689 meV/atom

Lattice parameters (Å, degrees): 4.6732 4.6732 2.6566 90.00 90.00 120.00
Fractional positions:
Tc 0.0000 0.0000 0.0000
As 0.3333 0.6667 0.5000
As 0.6667 0.3333 0.5000

Entry 12:
Below is a geometry-optimized InSb3S6 structure, with properties calculated at the PBE level.

Output
Formation energy (no corrections) = -0.269 eV/atom

Lattice parameters (Å, degrees): 12.5897 3.8013 13.0564 90.00 107.00 90.00
Fractional positions:
In 0.0623 0.2500 0.2713
In 0.9377 0.7500 0.7287
Sb 0.1562 0.7500 0.0577
Sb 0.2382 0.2500 0.6042
Sb 0.4368 0.7500 0.8638
Sb 0.5632 0.2500 0.1362
Sb 0.7618 0.7500 0.3958
Sb 0.8438 0.2500 0.9423
S 0.0238 0.2500 0.8914
S 0.0556 0.7500 0.3904
S 0.2327 0.2500 0.1986
S 0.2750 0.2500 0.8064
S 0.3691 0.7500 0.5976
S 0.4013 0.7500 0.0420
S 0.5987 0.2500 0.9580
S 0.6309 0.2500 0.4024
S 0.7250 0.7500 0.1936
S 0.7673 0.7500 0.8014
S 0.9444 0.2500 0.6096
S 0.9762 0.7500 0.1086